This record from the Open Quantum Materials Database describes an optimized crystal structure of Ta4AgHg3. The functional is PBE.

Output
Crystal system = tetragonal
Formation energy from the elements = 1.175 eV/atom

Structure (POSCAR):
```
Ta4AgHg3
1.0
-2.7747 2.7747 5.5397
2.7747 -2.7747 5.5397
2.7747 2.7747 -5.5397
Ag Hg Ta
1 3 4
Direct
0.0000 0.0000 0.0000
0.5000 0.5000 0.0000
0.7500 0.2500 0.5000
0.2500 0.7500 0.5000
0.2454 0.2454 0.0000
0.7546 0.7546 0.0000
0.5000 0.0000 0.5000
0.0000 0.5000 0.5000
```